MgZnRh | Alexandria via LeMat-Bulk | meta-GGA SCAN | PBEsol geometry; mass density = 7.21 g/cm3; total energy = -53.70 eV per formula unit; magnetic moment = 0.00 μB/cell; SG = I4mm (107); ΔH_f (0 K) = -0.479 eV per atom
1.0
-1.562 1.562 4.542
1.562 -1.562 4.542
1.562 1.562 -4.542
Mg Zn Rh
1 1 1
direct
0.000 0.000 0.000 Mg
0.310 0.310 0.000 Zn
0.669 0.669 0.000 Rh

MgZrRh | Alexandria via LeMat-Bulk | meta-GGA SCAN | PBEsol geometry; mass density = 6.23 g/cm3; total energy = -68.50 eV per formula unit; magnetic moment = 0.00 μB/cell; SG = F-43m (216); ΔH_f (0 K) = 0.315 eV per atom
1.0
0.000 3.076 3.076
3.076 0.000 3.076
3.076 3.076 0.000
Mg Zr Rh
1 1 1
direct
0.000 0.000 0.000 Mg
0.250 0.250 0.250 Zr
0.750 0.750 0.750 Rh

MgZrRh | Alexandria via LeMat-Bulk | meta-GGA SCAN | PBEsol geometry; mass density = 6.63 g/cm3; total energy = -71.04 eV per formula unit; magnetic moment = 0.62 μB/cell; SG = I4mm (107); ΔH_f (0 K) = -0.532 eV per atom
1.0
-1.577 1.577 5.494
1.577 -1.577 5.494
1.577 1.577 -5.494
Mg Zr Rh
1 1 1
direct
0.000 0.000 0.000 Mg
0.288 0.288 0.000 Zr
0.646 0.646 0.000 Rh

Mg3Ru | Alexandria via LeMat-Bulk | meta-GGA SCAN | PBEsol geometry; mass density = 4.25 g/cm3; total energy = -49.89 eV per formula unit; magnetic moment = 0.56 μB/cell; SG = I4/mmm (139); ΔH_f (0 K) = -0.035 eV per atom
1.0
-2.035 2.035 4.103
2.035 -2.035 4.103
2.035 2.035 -4.103
Mg Ru
3 1
direct
0.000 0.000 0.000 Mg
0.250 0.750 0.500 Mg
0.750 0.250 0.500 Mg
0.500 0.500 0.000 Ru

Mg3Ru4 | Alexandria via LeMat-Bulk | meta-GGA SCAN | PBEsol geometry; mass density = 7.27 g/cm3; total energy = -154.38 eV per formula unit; magnetic moment = 0.00 μB/cell; SG = I4/mmm (139); ΔH_f (0 K) = -0.021 eV per atom
1.0
-1.413 1.413 13.643
1.413 -1.413 13.643
1.413 1.413 -13.643
Mg Ru
3 4
direct
0.000 0.000 0.000 Mg
0.299 0.299 0.000 Mg
0.701 0.701 0.000 Mg
0.130 0.130 0.000 Ru
0.427 0.427 0.000 Ru
0.573 0.573 0.000 Ru
0.870 0.870 0.000 Ru

Mg3Ru | Alexandria via LeMat-Bulk | meta-GGA SCAN | PBEsol geometry; mass density = 4.23 g/cm3; total energy = -49.97 eV per formula unit; magnetic moment = 0.00 μB/cell; SG = Pmmn (59); ΔH_f (0 K) = -0.056 eV per atom
1.0
4.636 0.000 0.000
0.000 5.681 0.000
0.000 0.000 5.181
Mg Ru
6 2
direct
0.250 0.001 0.162 Mg
0.250 0.499 0.162 Mg
0.250 0.750 0.630 Mg
0.750 0.250 0.370 Mg
0.750 0.501 0.838 Mg
0.750 0.999 0.838 Mg
0.250 0.250 0.664 Ru
0.750 0.750 0.336 Ru